No. 1
Compound: Dy2AlCu3
Source: Alexandria
Functional: PBE
Structure: relaxed Values from VASP.

DFT formation energy = -0.290 eV/atom
Density = 7860 kg/m3

Geometry as Quantum ESPRESSO input:
```
&SYSTEM
  ibrav = 0, nat = 12, ntyp = 3
/
ATOMIC_SPECIES
Dy 162.50 Dy.upf
Al 26.98 Al.upf
Cu 63.55 Cu.upf
CELL_PARAMETERS angstrom
-1.821 2.282 -4.736
0.580 -5.352 -1.407
-6.537 0.204 5.183
ATOMIC_POSITIONS crystal
Dy 0.250 0.750 0.500
Dy 0.758 0.758 0.000
Dy 0.750 0.250 0.500
Dy 0.242 0.242 0.000
Al 0.666 0.666 0.332
Al 0.334 0.334 0.668
Cu 0.335 0.831 0.166
Cu 0.169 0.665 0.834
Cu 0.665 0.169 0.834
Cu 0.831 0.335 0.166
Cu 0.168 0.168 0.335
Cu 0.832 0.832 0.665
```


No. 2
Compound: Dy6AlCu
Source: Alexandria
Functional: PBE
Structure: relaxed Values from VASP.

DFT formation energy = -0.123 eV/atom
Density = 8146 kg/m3

Geometry as Quantum ESPRESSO input:
```
&SYSTEM
  ibrav = 0, nat = 8, ntyp = 3
/
ATOMIC_SPECIES
Dy 162.50 Dy.upf
Al 26.98 Al.upf
Cu 63.55 Cu.upf
CELL_PARAMETERS angstrom
-2.095 -4.178 1.808
3.347 -0.064 3.729
-4.700 2.657 7.630
ATOMIC_POSITIONS crystal
Dy 0.747 0.747 0.505
Dy 0.603 0.103 0.793
Dy 0.103 0.603 0.793
Dy 0.397 0.897 0.207
Dy 0.253 0.253 0.495
Dy 0.897 0.397 0.207
Al 0.500 0.500 0.000
Cu 0.000 0.000 0.000
```


No. 3
Compound: Dy2Al12Cu7
Source: Alexandria
Functional: PBE
Structure: relaxed Values from VASP.

DFT formation energy = -0.297 eV/atom
Density = 5322 kg/m3

Geometry as Quantum ESPRESSO input:
```
&SYSTEM
  ibrav = 0, nat = 21, ntyp = 3
/
ATOMIC_SPECIES
Dy 162.50 Dy.upf
Al 26.98 Al.upf
Cu 63.55 Cu.upf
CELL_PARAMETERS angstrom
-2.359 2.996 -0.944
0.744 -2.464 -9.679
-7.277 -3.957 5.630
ATOMIC_POSITIONS crystal
Dy 0.261 0.333 0.667
Dy 0.739 0.667 0.333
Al 0.248 0.616 0.050
Al 0.248 0.434 0.384
Al 0.248 0.950 0.566
Al 0.752 0.384 0.950
Al 0.752 0.566 0.616
Al 0.752 0.050 0.434
Al 0.254 0.114 0.265
Al 0.254 0.152 0.886
Al 0.254 0.735 0.848
Al 0.746 0.886 0.735
Al 0.746 0.848 0.114
Al 0.746 0.265 0.152
Cu 0.500 0.000 0.000
Cu 0.244 0.877 0.290
Cu 0.244 0.413 0.123
Cu 0.244 0.710 0.587
Cu 0.756 0.123 0.710
Cu 0.756 0.587 0.877
Cu 0.756 0.290 0.413
```


No. 4
Compound: Dy2Al9Cu3
Source: Alexandria
Functional: PBE
Structure: relaxed Values from VASP.

DFT formation energy = -0.294 eV/atom
Density = 5283 kg/m3

Geometry as Quantum ESPRESSO input:
```
&SYSTEM
  ibrav = 0, nat = 28, ntyp = 3
/
ATOMIC_SPECIES
Dy 162.50 Dy.upf
Al 26.98 Al.upf
Cu 63.55 Cu.upf
CELL_PARAMETERS angstrom
-6.276 1.892 -3.733
-0.145 -5.467 5.196
2.075 7.202 7.517
ATOMIC_POSITIONS crystal
Dy 0.336 0.249 0.751
Dy 0.664 0.751 0.249
Dy 0.998 0.586 0.749
Dy 0.002 0.414 0.251
Al 0.459 0.916 0.749
Al 0.541 0.084 0.251
Al 0.668 0.710 0.751
Al 0.332 0.290 0.249
Al 0.453 0.644 0.931
Al 0.547 0.356 0.069
Al 0.213 0.522 0.569
Al 0.787 0.478 0.431
Al 0.880 0.130 0.750
Al 0.120 0.870 0.250
Al 0.129 0.982 0.943
Al 0.871 0.018 0.057
Al 0.539 0.186 0.557
Al 0.461 0.814 0.443
Al 0.877 0.857 0.567
Al 0.123 0.143 0.433
Al 0.790 0.310 0.933
Al 0.210 0.690 0.067
Cu 0.500 0.000 0.000
Cu 0.500 0.500 0.500
Cu 0.838 0.170 0.498
Cu 0.162 0.830 0.502
Cu 0.172 0.341 0.002
Cu 0.828 0.659 0.998
```


No. 5
Compound: DyAl3Cu
Source: Alexandria
Functional: PBE
Structure: relaxed Values from VASP.

DFT formation energy = -0.417 eV/atom
Density = 5654 kg/m3

Geometry as Quantum ESPRESSO input:
```
&SYSTEM
  ibrav = 0, nat = 20, ntyp = 3
/
ATOMIC_SPECIES
Dy 162.50 Dy.upf
Al 26.98 Al.upf
Cu 63.55 Cu.upf
CELL_PARAMETERS angstrom
4.077 0.000 0.000
0.000 8.247 0.000
0.000 0.000 10.728
ATOMIC_POSITIONS crystal
Dy 0.750 0.821 0.003
Dy 0.250 0.679 0.503
Dy 0.750 0.321 0.497
Dy 0.250 0.179 0.997
Al 0.250 0.562 0.090
Al 0.750 0.438 0.910
Al 0.250 0.062 0.410
Al 0.750 0.938 0.590
Al 0.250 0.389 0.712
Al 0.750 0.111 0.212
Al 0.250 0.889 0.788
Al 0.750 0.643 0.716
Al 0.250 0.357 0.284
Al 0.750 0.143 0.784
Al 0.750 0.611 0.288
Al 0.250 0.857 0.216
Cu 0.250 0.109 0.638
Cu 0.250 0.609 0.862
Cu 0.750 0.391 0.138
Cu 0.750 0.891 0.362
```


No. 6
Compound: Dy2Al5Cu3
Source: Alexandria
Functional: PBE
Structure: relaxed Values from VASP.

DFT formation energy = -0.317 eV/atom
Density = 5954 kg/m3

Geometry as Quantum ESPRESSO input:
```
&SYSTEM
  ibrav = 0, nat = 10, ntyp = 3
/
ATOMIC_SPECIES
Dy 162.50 Dy.upf
Al 26.98 Al.upf
Cu 63.55 Cu.upf
CELL_PARAMETERS angstrom
4.185 0.000 0.000
0.000 4.185 0.000
0.000 0.000 10.358
ATOMIC_POSITIONS crystal
Dy 0.500 0.000 0.264
Dy 0.000 0.500 0.736
Al 0.500 0.500 0.000
Al 0.000 0.000 0.000
Al 0.500 0.000 0.842
Al 0.000 0.500 0.158
Al 0.500 0.500 0.500
Cu 0.500 0.000 0.619
Cu 0.000 0.500 0.381
Cu 0.000 0.000 0.500
```


No. 7
Compound: DyAl4Cu2
Source: Alexandria
Functional: PBE
Structure: relaxed Values from VASP.

DFT formation energy = -0.305 eV/atom
Density = 5538 kg/m3

Geometry as Quantum ESPRESSO input:
```
&SYSTEM
  ibrav = 0, nat = 7, ntyp = 3
/
ATOMIC_SPECIES
Dy 162.50 Dy.upf
Al 26.98 Al.upf
Cu 63.55 Cu.upf
CELL_PARAMETERS angstrom
3.953 0.000 0.000
0.000 4.035 0.000
0.000 -2.017 7.473
ATOMIC_POSITIONS crystal
Dy 0.000 0.000 0.000
Al 0.500 0.821 0.641
Al 0.000 0.682 0.365
Al 0.500 0.179 0.359
Al 0.000 0.318 0.635
Cu 0.500 0.581 0.162
Cu 0.500 0.419 0.838
```


No. 8
Compound: DyAlCu2
Source: Alexandria
Functional: PBE
Structure: relaxed Values from VASP.

DFT formation energy = -0.324 eV/atom
Density = 7493 kg/m3

Geometry as Quantum ESPRESSO input:
```
&SYSTEM
  ibrav = 0, nat = 16, ntyp = 3
/
ATOMIC_SPECIES
Dy 162.50 Dy.upf
Al 26.98 Al.upf
Cu 63.55 Cu.upf
CELL_PARAMETERS angstrom
5.628 0.000 0.000
0.000 6.599 0.000
0.000 0.000 7.556
ATOMIC_POSITIONS crystal
Dy 0.343 0.250 0.045
Dy 0.843 0.750 0.455
Dy 0.657 0.750 0.955
Dy 0.157 0.250 0.545
Al 0.658 0.250 0.384
Al 0.158 0.750 0.116
Al 0.342 0.750 0.616
Al 0.842 0.250 0.884
Cu 0.907 0.056 0.174
Cu 0.407 0.944 0.326
Cu 0.093 0.556 0.826
Cu 0.593 0.444 0.674
Cu 0.093 0.944 0.826
Cu 0.593 0.056 0.674
Cu 0.907 0.444 0.174
Cu 0.407 0.556 0.326
```


No. 9
Compound: Dy5Al4Cu
Source: Alexandria
Functional: PBE
Structure: relaxed Values from VASP.

DFT formation energy = -0.363 eV/atom
Density = 7138 kg/m3

Geometry as Quantum ESPRESSO input:
```
&SYSTEM
  ibrav = 0, nat = 10, ntyp = 3
/
ATOMIC_SPECIES
Dy 162.50 Dy.upf
Al 26.98 Al.upf
Cu 63.55 Cu.upf
CELL_PARAMETERS angstrom
3.454 0.000 0.000
0.000 3.454 0.000
0.000 0.000 19.191
ATOMIC_POSITIONS crystal
Dy 0.500 0.500 0.092
Dy 0.500 0.500 0.296
Dy 0.500 0.500 0.500
Dy 0.500 0.500 0.704
Dy 0.500 0.500 0.908
Al 0.000 0.000 0.193
Al 0.000 0.000 0.398
Al 0.000 0.000 0.602
Al 0.000 0.000 0.807
Cu 0.000 0.000 0.000
```


No. 10
Compound: Dy2AlCu2
Source: Alexandria
Functional: PBE
Structure: relaxed Values from VASP.

DFT formation energy = -0.363 eV/atom
Density = 7925 kg/m3

Geometry as Quantum ESPRESSO input:
```
&SYSTEM
  ibrav = 0, nat = 10, ntyp = 3
/
ATOMIC_SPECIES
Dy 162.50 Dy.upf
Al 26.98 Al.upf
Cu 63.55 Cu.upf
CELL_PARAMETERS angstrom
-1.253 4.650 2.687
0.694 0.300 5.462
7.009 3.491 0.553
ATOMIC_POSITIONS crystal
Dy 0.495 0.207 0.151
Dy 0.793 0.505 0.349
Dy 0.505 0.793 0.849
Dy 0.207 0.495 0.651
Al 0.150 0.850 0.250
Al 0.850 0.150 0.750
Cu 0.729 0.001 0.499
Cu 0.999 0.271 0.001
Cu 0.271 0.999 0.501
Cu 0.001 0.729 0.999
```


No. 11
Compound: Dy2Al5Cu3
Source: Alexandria
Functional: PBE
Structure: relaxed Values from VASP.

DFT formation energy = -0.435 eV/atom
Density = 6081 kg/m3

Geometry as Quantum ESPRESSO input:
```
&SYSTEM
  ibrav = 0, nat = 20, ntyp = 3
/
ATOMIC_SPECIES
Dy 162.50 Dy.upf
Al 26.98 Al.upf
Cu 63.55 Cu.upf
CELL_PARAMETERS angstrom
-1.907 1.888 5.205
-7.072 -3.900 2.134
3.903 -4.016 6.197
ATOMIC_POSITIONS crystal
Dy 0.259 0.873 0.610
Dy 0.241 0.390 0.127
Dy 0.741 0.127 0.390
Dy 0.759 0.610 0.873
Al 0.353 0.039 0.255
Al 0.147 0.745 0.961
Al 0.647 0.961 0.745
Al 0.853 0.255 0.039
Al 0.250 0.244 0.756
Al 0.750 0.756 0.244
Al 0.250 0.500 0.500
Al 0.750 0.500 0.500
Al 0.250 0.756 0.244
Al 0.750 0.244 0.756
Cu 0.126 0.246 0.503
Cu 0.374 0.497 0.754
Cu 0.874 0.754 0.497
Cu 0.626 0.503 0.246
Cu 0.250 0.999 0.001
Cu 0.750 0.001 0.999
```


No. 12
Compound: DyAlCu4
Source: Alexandria
Functional: PBE
Structure: relaxed Values from VASP.

DFT formation energy = -0.099 eV/atom
Density = 7589 kg/m3

Geometry as Quantum ESPRESSO input:
```
&SYSTEM
  ibrav = 0, nat = 12, ntyp = 3
/
ATOMIC_SPECIES
Dy 162.50 Dy.upf
Al 26.98 Al.upf
Cu 63.55 Cu.upf
CELL_PARAMETERS angstrom
4.298 0.000 0.000
0.000 6.402 0.000
-2.149 0.000 7.056
ATOMIC_POSITIONS crystal
Dy 0.384 0.750 0.768
Dy 0.616 0.250 0.232
Al 0.153 0.750 0.306
Al 0.847 0.250 0.694
Cu 0.251 0.427 0.502
Cu 0.749 0.573 0.498
Cu 0.251 0.073 0.502
Cu 0.749 0.927 0.498
Cu 0.575 0.750 0.149
Cu 0.425 0.250 0.851
Cu 0.000 0.500 0.000
Cu 0.000 0.000 0.000
```


No. 13
Compound: DyAlCu3
Source: Alexandria
Functional: PBE
Structure: relaxed Values from VASP.

DFT formation energy = -0.201 eV/atom
Density = 7648 kg/m3

Geometry as Quantum ESPRESSO input:
```
&SYSTEM
  ibrav = 0, nat = 10, ntyp = 3
/
ATOMIC_SPECIES
Dy 162.50 Dy.upf
Al 26.98 Al.upf
Cu 63.55 Cu.upf
CELL_PARAMETERS angstrom
-4.978 -0.211 -1.068
0.644 -9.124 -1.196
1.458 4.172 4.535
ATOMIC_POSITIONS crystal
Dy 0.250 0.243 0.500
Dy 0.750 0.757 0.500
Al 0.000 0.500 0.000
Al 0.500 0.000 0.000
Cu 0.807 0.307 0.115
Cu 0.307 0.307 0.115
Cu 0.693 0.693 0.885
Cu 0.193 0.693 0.885
Cu 0.250 0.935 0.500
Cu 0.750 0.065 0.500
```


No. 14
Compound: DyAlCu3
Source: Alexandria
Functional: PBE
Structure: relaxed Values from VASP.

DFT formation energy = 0.093 eV/atom
Density = 6774 kg/m3

Geometry as Quantum ESPRESSO input:
```
&SYSTEM
  ibrav = 0, nat = 10, ntyp = 3
/
ATOMIC_SPECIES
Dy 162.50 Dy.upf
Al 26.98 Al.upf
Cu 63.55 Cu.upf
CELL_PARAMETERS angstrom
4.530 0.000 0.000
0.000 7.339 0.000
0.000 0.000 5.606
ATOMIC_POSITIONS crystal
Dy 0.500 0.000 0.000
Dy 0.500 0.500 0.500
Al 0.000 0.500 0.000
Al 0.000 0.000 0.500
Cu 0.500 0.500 0.000
Cu 0.500 0.000 0.500
Cu 0.000 0.753 0.245
Cu 0.000 0.253 0.255
Cu 0.000 0.247 0.755
Cu 0.000 0.747 0.745
```


No. 15
Compound: DyAl6Cu4
Source: Alexandria
Functional: PBE
Structure: relaxed Values from VASP.

DFT formation energy = -0.316 eV/atom
Density = 5574 kg/m3

Geometry as Quantum ESPRESSO input:
```
&SYSTEM
  ibrav = 0, nat = 11, ntyp = 3
/
ATOMIC_SPECIES
Dy 162.50 Dy.upf
Al 26.98 Al.upf
Cu 63.55 Cu.upf
CELL_PARAMETERS angstrom
-0.886 -2.407 -3.045
6.790 -0.007 -1.969
-2.369 -4.873 4.541
ATOMIC_POSITIONS crystal
Dy 0.000 0.000 0.000
Al 0.000 0.534 0.067
Al 0.500 0.599 0.799
Al 0.000 0.534 0.466
Al 0.000 0.933 0.466
Al 0.500 0.201 0.799
Al 0.500 0.201 0.401
Cu 0.500 0.794 0.588
Cu 0.500 0.412 0.206
Cu 0.500 0.794 0.206
Cu 0.000 0.333 0.667
```


No. 16
Compound: Dy3AlCu8
Source: Alexandria
Functional: PBE
Structure: relaxed Values from VASP.

DFT formation energy = -0.209 eV/atom
Density = 8778 kg/m3

Geometry as Quantum ESPRESSO input:
```
&SYSTEM
  ibrav = 0, nat = 12, ntyp = 3
/
ATOMIC_SPECIES
Dy 162.50 Dy.upf
Al 26.98 Al.upf
Cu 63.55 Cu.upf
CELL_PARAMETERS angstrom
5.154 0.000 0.000
2.577 4.464 0.000
2.577 1.488 8.411
ATOMIC_POSITIONS crystal
Dy 0.379 0.379 0.863
Dy 0.993 0.993 0.021
Dy 0.505 0.505 0.486
Al 0.868 0.868 0.395
Cu 0.942 0.434 0.190
Cu 0.442 0.938 0.682
Cu 0.434 0.434 0.190
Cu 0.938 0.938 0.682
Cu 0.189 0.189 0.434
Cu 0.687 0.687 0.938
Cu 0.434 0.942 0.190
Cu 0.938 0.442 0.682
```


No. 17
Compound: Dy6Al2Cu
Source: Alexandria
Functional: PBE
Structure: relaxed Values from VASP.

DFT formation energy = 0.003 eV/atom
Density = 6969 kg/m3

Geometry as Quantum ESPRESSO input:
```
&SYSTEM
  ibrav = 0, nat = 9, ntyp = 3
/
ATOMIC_SPECIES
Dy 162.50 Dy.upf
Al 26.98 Al.upf
Cu 63.55 Cu.upf
CELL_PARAMETERS angstrom
-1.921 -0.046 4.558
-1.822 -6.813 -0.836
8.430 1.338 0.881
ATOMIC_POSITIONS crystal
Dy 0.162 0.406 0.325
Dy 0.838 0.081 0.675
Dy 0.838 0.594 0.675
Dy 0.500 0.239 0.000
Dy 0.162 0.919 0.325
Dy 0.500 0.761 0.000
Al 0.666 0.666 0.332
Al 0.334 0.334 0.668
Cu 0.000 0.000 0.000
```


No. 18
Compound: DyAl2Cu5
Source: Alexandria
Functional: PBE
Structure: relaxed Values from VASP.

DFT formation energy = -0.192 eV/atom
Density = 7081 kg/m3

Geometry as Quantum ESPRESSO input:
```
&SYSTEM
  ibrav = 0, nat = 8, ntyp = 3
/
ATOMIC_SPECIES
Dy 162.50 Dy.upf
Al 26.98 Al.upf
Cu 63.55 Cu.upf
CELL_PARAMETERS angstrom
-1.999 1.836 -2.591
-5.991 -1.716 0.689
-3.589 4.169 3.008
ATOMIC_POSITIONS crystal
Dy 0.000 0.000 0.000
Al 0.752 0.748 0.748
Al 0.248 0.252 0.252
Cu 0.000 0.500 0.500
Cu 0.630 0.558 0.183
Cu 0.370 0.442 0.817
Cu 0.370 0.817 0.442
Cu 0.630 0.183 0.558
```


No. 19
Compound: DyAl3Cu3
Source: Alexandria
Functional: PBE
Structure: relaxed Values from VASP.

DFT formation energy = -0.238 eV/atom
Density = 6042 kg/m3

Geometry as Quantum ESPRESSO input:
```
&SYSTEM
  ibrav = 0, nat = 14, ntyp = 3
/
ATOMIC_SPECIES
Dy 162.50 Dy.upf
Al 26.98 Al.upf
Cu 63.55 Cu.upf
CELL_PARAMETERS angstrom
-2.811 0.937 -3.150
4.832 -1.352 -4.714
-5.137 -6.880 2.537
ATOMIC_POSITIONS crystal
Dy 0.750 0.433 0.724
Dy 0.250 0.567 0.276
Al 0.750 0.750 0.108
Al 0.750 0.249 0.286
Al 0.750 0.003 0.735
Al 0.250 0.250 0.892
Al 0.250 0.751 0.714
Al 0.250 0.997 0.265
Cu 0.750 0.947 0.419
Cu 0.750 0.333 0.036
Cu 0.750 0.636 0.519
Cu 0.250 0.053 0.581
Cu 0.250 0.667 0.964
Cu 0.250 0.364 0.481
```


No. 20
Compound: Dy2AlCu9
Source: Alexandria
Functional: PBE
Structure: relaxed Values from VASP.

DFT formation energy = -0.100 eV/atom
Density = 8412 kg/m3

Geometry as Quantum ESPRESSO input:
```
&SYSTEM
  ibrav = 0, nat = 12, ntyp = 3
/
ATOMIC_SPECIES
Dy 162.50 Dy.upf
Al 26.98 Al.upf
Cu 63.55 Cu.upf
CELL_PARAMETERS angstrom
5.044 0.000 0.000
2.522 4.368 0.000
2.522 1.456 8.279
ATOMIC_POSITIONS crystal
Dy 0.865 0.865 0.406
Dy 0.135 0.135 0.594
Al 0.000 0.000 0.000
Cu 0.667 0.667 0.999
Cu 0.333 0.333 0.001
Cu 0.500 0.500 0.500
Cu 0.418 0.418 0.244
Cu 0.921 0.418 0.244
Cu 0.418 0.921 0.244
Cu 0.582 0.582 0.756
Cu 0.582 0.079 0.756
Cu 0.079 0.582 0.756
```